Entry 1:
Below is Hf4Cd3Mo2N3 after structural relaxation, with properties calculated at the PBE-GGA level.

a b c (Å): 9.536 5.532 14.816
angles (deg): 90.00 101.89 90.00
Space group C2/c (No. 15)
Inequivalent atoms, fractional coordinates:
Hf  0.110  0.091  0.086
Hf  0.226  0.080  0.414
Cd  0.000  0.110  0.750
Cd  0.154  0.430  0.252
Mo  0.055  0.422  0.927
N  0.089  0.234  0.500
N  0.250  0.250  0.000

Entry 2:
Below is Hf3CdN2 after structural relaxation, with properties calculated at the PBE-GGA level.

a b c (Å): 3.2494 3.2494 19.7643
angles (deg): 90.00 90.00 120.00
Space group P6_3/mmc (No. 194)
Inequivalent atoms, fractional coordinates:
Hf  0.0000  0.0000  0.0000
Hf  0.3333  0.6667  0.1259
Cd  0.0000  0.0000  0.2500
N  0.3333  0.6667  0.5671

Entry 3:
Below is Hf4CdN3 after structural relaxation, with properties calculated at the PBE-GGA level.

a b c (Å): 3.2190 3.2190 25.2623
angles (deg): 90.00 90.00 120.00
Space group P6_3/mmc (No. 194)
Inequivalent atoms, fractional coordinates:
Hf  0.0000  0.0000  0.1516
Hf  0.3333  0.6667  0.0530
Cd  0.3333  0.6667  0.2500
N  0.0000  0.0000  0.0000
N  0.3333  0.6667  0.6027

Entry 4:
Below is Hf2Nb4Cd3N3 after structural relaxation, with properties calculated at the PBE-GGA level.

a b c (Å): 9.576 5.544 14.817
angles (deg): 90.00 102.27 90.00
Space group C2/c (No. 15)
Inequivalent atoms, fractional coordinates:
Hf  0.055  0.084  0.412
Nb  0.109  0.422  0.578
Nb  0.222  0.415  0.922
Cd  0.000  0.446  0.250
Cd  0.182  0.100  0.749
N  0.078  0.235  0.000
N  0.250  0.250  0.500

Entry 5:
Below is Hf4CdNiN2 after structural relaxation, with properties calculated at the PBE-GGA level.

a b c (Å): 3.2138 3.2138 13.9418
angles (deg): 90.00 90.00 120.00
Space group P-6m2 (No. 187)
Inequivalent atoms, fractional coordinates:
Hf  0.0000  0.0000  0.1404
Hf  0.3333  0.6667  0.3225
Cd  0.0000  0.0000  0.5000
Ni  0.3333  0.6667  0.0000
N  0.6667  0.3333  0.2341

Entry 6:
Below is Hf4CdSbN2 after structural relaxation, with properties calculated at the PBE-GGA level.

a b c (Å): 3.3213 3.3213 14.0827
angles (deg): 90.00 90.00 120.00
Space group P-6m2 (No. 187)
Inequivalent atoms, fractional coordinates:
Hf  0.0000  0.0000  0.1589
Hf  0.6667  0.3333  0.3281
Cd  0.0000  0.0000  0.5000
Sb  0.6667  0.3333  0.0000
N  0.3333  0.6667  0.2469

Entry 7:
Below is Hf4Sc2Cd3N3 after structural relaxation, with properties calculated at the PBE-GGA level.

a b c (Å): 9.738 5.625 15.193
angles (deg): 90.00 102.39 90.00
Space group C2/c (No. 15)
Inequivalent atoms, fractional coordinates:
Hf  0.110  0.086  0.080
Hf  0.225  0.082  0.420
Sc  0.054  0.418  0.916
Cd  0.000  0.064  0.750
Cd  0.176  0.408  0.251
N  0.084  0.249  0.500
N  0.250  0.250  0.000

Entry 8:
Below is Hf2Sc4Cd3N3 after structural relaxation, with properties calculated at the PBE-GGA level.

a b c (Å): 9.707 5.611 15.317
angles (deg): 90.00 102.27 90.00
Space group C2/c (No. 15)
Inequivalent atoms, fractional coordinates:
Hf  0.060  0.086  0.421
Sc  0.111  0.422  0.583
Sc  0.220  0.413  0.917
Cd  0.000  0.409  0.250
Cd  0.162  0.080  0.749
N  0.081  0.243  0.000
N  0.250  0.250  0.500

Entry 9:
Below is Hf4CdSiN2 after structural relaxation, with properties calculated at the PBE-GGA level.

a b c (Å): 3.2342 3.2342 13.9798
angles (deg): 90.00 90.00 120.00
Space group P-6m2 (No. 187)
Inequivalent atoms, fractional coordinates:
Hf  0.0000  0.0000  0.1468
Hf  0.3333  0.6667  0.3242
Cd  0.0000  0.0000  0.5000
Si  0.3333  0.6667  0.0000
N  0.6667  0.3333  0.2383

Entry 10:
Below is Hf4CdSnN2 after structural relaxation, with properties calculated at the PBE-GGA level.

a b c (Å): 3.2591 3.2591 14.5945
angles (deg): 90.00 90.00 120.00
Space group P-6m2 (No. 187)
Inequivalent atoms, fractional coordinates:
Hf  0.0000  0.0000  0.1648
Hf  0.6667  0.3333  0.3327
Cd  0.0000  0.0000  0.5000
Sn  0.6667  0.3333  0.0000
N  0.3333  0.6667  0.2519

Entry 11:
Below is Hf2Ta4Cd3N3 after structural relaxation, with properties calculated at the PBE-GGA level.

a b c (Å): 9.491 5.498 14.822
angles (deg): 90.00 102.17 90.00
Space group C2/c (No. 15)
Inequivalent atoms, fractional coordinates:
Hf  0.053  0.083  0.409
Ta  0.109  0.418  0.578
Ta  0.224  0.416  0.922
Cd  0.000  0.449  0.250
Cd  0.184  0.103  0.750
N  0.080  0.240  0.000
N  0.250  0.250  0.500

Entry 12:
Below is Hf4TlCdN2 after structural relaxation, with properties calculated at the PBE-GGA level.

a b c (Å): 3.2651 3.2651 14.6979
angles (deg): 90.00 90.00 120.00
Space group P-6m2 (No. 187)
Inequivalent atoms, fractional coordinates:
Hf  0.0000  0.0000  0.1666
Hf  0.6667  0.3333  0.3320
Tl  0.0000  0.0000  0.5000
Cd  0.6667  0.3333  0.0000
N  0.3333  0.6667  0.2485

Entry 13:
Below is Hf4Cd3W2N3 after structural relaxation, with properties calculated at the PBE-GGA level.

a b c (Å): 9.516 5.520 14.821
angles (deg): 90.00 102.06 90.00
Space group C2/c (No. 15)
Inequivalent atoms, fractional coordinates:
Hf  0.111  0.088  0.087
Hf  0.224  0.082  0.413
Cd  0.000  0.109  0.750
Cd  0.154  0.431  0.252
W  0.057  0.420  0.927
N  0.088  0.237  0.500
N  0.250  0.250  0.000

Entry 14:
Below is Y4Hf2Cd3N3 after structural relaxation, with properties calculated at the PBE-GGA level.

a b c (Å): 10.287 5.952 15.669
angles (deg): 90.00 103.08 90.00
Space group C2/c (No. 15)
Inequivalent atoms, fractional coordinates:
Y  0.115  0.073  0.092
Y  0.213  0.090  0.408
Hf  0.064  0.411  0.928
Cd  0.000  0.129  0.750
Cd  0.143  0.441  0.248
N  0.076  0.271  0.500
N  0.250  0.250  0.000

Entry 15:
Below is Y2Hf4Cd3N3 after structural relaxation, with properties calculated at the PBE-GGA level.

a b c (Å): 10.008 5.787 15.167
angles (deg): 90.00 102.96 90.00
Space group C2/c (No. 15)
Inequivalent atoms, fractional coordinates:
Y  0.045  0.081  0.394
Hf  0.108  0.406  0.576
Hf  0.230  0.421  0.924
Cd  0.000  0.447  0.750
Cd  0.234  0.149  0.751
N  0.086  0.256  0.000
N  0.250  0.250  0.500

Entry 16:
Below is Hf4ZnCdN2 after structural relaxation, with properties calculated at the PBE-GGA level.

a b c (Å): 3.2410 3.2410 14.2698
angles (deg): 90.00 90.00 120.00
Space group P-6m2 (No. 187)
Inequivalent atoms, fractional coordinates:
Hf  0.0000  0.0000  0.1560
Hf  0.3333  0.6667  0.3272
Zn  0.3333  0.6667  0.0000
Cd  0.0000  0.0000  0.5000
N  0.6667  0.3333  0.2421

Entry 17:
Below is Hf4Zr2Cd3N3 after structural relaxation, with properties calculated at the PBE-GGA level.

a b c (Å): 9.841 5.681 15.068
angles (deg): 90.00 102.57 90.00
Space group C2/c (No. 15)
Inequivalent atoms, fractional coordinates:
Hf  0.110  0.087  0.081
Hf  0.225  0.082  0.419
Zr  0.053  0.418  0.915
Cd  0.000  0.072  0.750
Cd  0.173  0.411  0.251
N  0.086  0.243  0.500
N  0.250  0.250  0.000

Asked for electronic total energy across the records above, the calculation gives -388.9; -109.0; -153.0; -383.8; -70.4; -69.2; -368.7; -341.0; -71.1; -69.3; -409.6; -67.2; -401.7; -338.6; -369.4; -66.3; -384.1 eV per cell in order.
Asked for calculated density across the records above, the calculation gives 11.16; 12.42; 12.72; 9.57; 12.16; 12.05; 9.67; 7.46; 11.57; 12.04; 12.82; 12.96; 12.75; 7.76; 9.86; 11.77; 10.31 g/cm³ in order.